A geometry-optimized CdS structure, computed with PBE.

abc: 4.604 4.622 4.450
angles: 90.00 90.00 90.00
Fractional positions:
Cd 0.250 0.250 0.002
Cd 0.750 0.750 0.998
S 0.250 0.750 0.286
S 0.750 0.250 0.714

**VASP energy**: -11.78 eV per cell
**Symmetry**: Pmmn, No. 59